(1)
# HoHfMn17 | the Alexandria database | GGA-PBE | relaxed
data_HoHfMn17
_cell_length_a 8.5407
_cell_length_b 8.5407
_cell_length_c 11.5327
_cell_angle_alpha 90.00
_cell_angle_beta 90.00
_cell_angle_gamma 120.00
_space_group_name_H-M_alt 'R 3 m'
_space_group_IT_number 160
_space_group_name_Hall 'R 3 -2"'
loop_
_atom_site_label
_atom_site_fract_x
_atom_site_fract_y
_atom_site_fract_z
Ho1 0.0000 0.0000 0.0000
Hf1 0.0000 0.0000 0.2898
Mn1 0.0000 0.0000 0.5423
Mn2 0.0000 0.0000 0.7435
Mn3 0.0007 0.5004 0.1438
Mn4 0.0068 0.5034 0.5089
Mn5 0.0573 0.3893 0.3105
Mn6 0.1730 0.3461 0.1137
# M_tot in μB/f.u.: 4.91
# ΔH_f (0 K) in eV per atom: -0.020
# Calculated volume in Å³/atom: 12.78

***

(2)
# LaPm3YTh | the Alexandria database | GGA-PBE | relaxed
data_LaPm3YTh
_cell_length_a 8.165
_cell_length_b 5.144
_cell_length_c 10.323
_cell_angle_alpha 90.00
_cell_angle_beta 108.68
_cell_angle_gamma 90.00
_space_group_name_H-M_alt 'P 1 21/m 1'
_space_group_IT_number 11
_space_group_name_Hall '-P 2yb'
loop_
_atom_site_label
_atom_site_fract_x
_atom_site_fract_y
_atom_site_fract_z
La1 0.170 0.250 0.291
Pm1 0.171 0.750 0.546
Pm2 0.179 0.250 0.796
Pm3 0.180 0.750 0.044
Y1 0.499 0.250 0.629
Th1 0.499 0.750 0.879
# M_tot in μB/f.u.: 0.00
# ΔH_f (0 K) in eV per atom: 0.035
# Calculated volume in Å³/atom: 34.23

***

(3)
# Dy2Mg3Cd2 | the Alexandria database | GGA-PBE | relaxed
data_Dy2Mg3Cd2
_cell_length_a 4.877
_cell_length_b 21.722
_cell_length_c 3.325
_cell_angle_alpha 90.00
_cell_angle_beta 90.00
_cell_angle_gamma 90.00
_space_group_name_H-M_alt 'C m m m'
_space_group_IT_number 65
_space_group_name_Hall '-C 2 2'
loop_
_atom_site_label
_atom_site_fract_x
_atom_site_fract_y
_atom_site_fract_z
Dy1 0.000 0.155 0.000
Mg1 0.000 0.000 0.000
Mg2 0.000 0.428 0.500
Cd1 0.000 0.288 0.500
# Energy above the lowest structure with this stoichiometry in meV/atom: 49
# M_tot in μB/f.u.: 0.00
# ΔH_f (0 K) in eV per atom: -0.142
# Calculated volume in Å³/atom: 25.16

***

(4)
# Tm3CdPd5 | the Alexandria database | GGA-PBE | relaxed
data_Tm3CdPd5
_cell_length_a 8.3740
_cell_length_b 8.3740
_cell_length_c 5.7512
_cell_angle_alpha 90.00
_cell_angle_beta 90.00
_cell_angle_gamma 120.00
_space_group_name_H-M_alt 'P 63/m c m'
_space_group_IT_number 193
_space_group_name_Hall '-P 6c 2'
loop_
_atom_site_label
_atom_site_fract_x
_atom_site_fract_y
_atom_site_fract_z
Tm1 0.0000 0.3629 0.2500
Cd1 0.0000 0.0000 0.0000
Pd1 0.0000 0.3091 0.7500
Pd2 0.3333 0.6667 0.0000
# M_tot in μB/f.u.: 0.00
# ΔH_f (0 K) in eV per atom: -0.842
# Calculated volume in Å³/atom: 19.40

***

(5)
# Li4TbY3Se8 | the Alexandria database | GGA-PBE | relaxed
data_Li4TbY3Se8
_cell_length_a 8.1525
_cell_length_b 8.1525
_cell_length_c 19.5155
_cell_angle_alpha 90.00
_cell_angle_beta 90.00
_cell_angle_gamma 120.00
_space_group_name_H-M_alt 'R -3 m'
_space_group_IT_number 166
_space_group_name_Hall '-R 3 2"'
loop_
_atom_site_label
_atom_site_fract_x
_atom_site_fract_y
_atom_site_fract_z
Li1 0.0000 0.0000 0.0000
Li2 0.0000 0.5000 0.0000
Tb1 0.0000 0.0000 0.5000
Y1 0.0000 0.5000 0.5000
Se1 0.0000 0.0000 0.2512
Se2 0.0005 0.5003 0.7488
# M_tot in μB/f.u.: 0.00
# Uncorrected formation energy in kJ/mol of formula units: -2629
# Calculated volume in Å³/atom: 23.40

***

(6)
# Ho2Er7Th | the Alexandria database | GGA-PBE | relaxed
data_Ho2Er7Th
_cell_length_a 8.649
_cell_length_b 16.855
_cell_length_c 5.235
_cell_angle_alpha 90.00
_cell_angle_beta 90.00
_cell_angle_gamma 90.00
_space_group_name_H-M_alt 'C m m m'
_space_group_IT_number 65
_space_group_name_Hall '-C 2 2'
loop_
_atom_site_label
_atom_site_fract_x
_atom_site_fract_y
_atom_site_fract_z
Ho1 0.000 0.201 0.000
Er1 0.000 0.000 0.000
Er2 0.000 0.302 0.500
Er3 0.177 0.391 0.000
Th1 0.000 0.500 0.500
# M_tot in μB/f.u.: 0.00
# ΔH_f (0 K) in eV per atom: 0.734
# Calculated volume in Å³/atom: 38.16

***

(7)
# Mn2H2I | the Alexandria database | GGA-PBE | relaxed
data_Mn2H2I
_cell_length_a 3.848
_cell_length_b 3.848
_cell_length_c 10.490
_cell_angle_alpha 90.00
_cell_angle_beta 90.00
_cell_angle_gamma 90.00
_space_group_name_H-M_alt 'I 4/m m m'
_space_group_IT_number 139
_space_group_name_Hall '-I 4 2'
loop_
_atom_site_label
_atom_site_fract_x
_atom_site_fract_y
_atom_site_fract_z
Mn1 0.000 0.500 0.250
H1 0.000 0.000 0.215
I1 0.000 0.000 0.500
# Energy above the lowest structure with this stoichiometry in meV/atom: 0
# M_tot in μB/f.u.: 8.29
# Calculated volume in Å³/atom: 15.54

***

(8)
# LaPmY5 | the Alexandria database | GGA-PBE | relaxed
data_LaPmY5
_cell_length_a 5.805
_cell_length_b 8.617
_cell_length_c 11.868
_cell_angle_alpha 90.00
_cell_angle_beta 90.00
_cell_angle_gamma 90.00
_space_group_name_H-M_alt 'I m m m'
_space_group_IT_number 71
_space_group_name_Hall '-I 2 2'
loop_
_atom_site_label
_atom_site_fract_x
_atom_site_fract_y
_atom_site_fract_z
La1 0.000 0.000 0.000
Pm1 0.000 0.000 0.500
Y1 0.000 0.000 0.252
Y2 0.000 0.320 0.500
Y3 0.000 0.500 0.000
# Energy above the lowest structure with this stoichiometry in meV/atom: 979
# M_tot in μB/f.u.: 0.22
# ΔH_f (0 K) in eV per atom: 1.078
# Calculated volume in Å³/atom: 42.41